Density functional theory data (SCAN) for LiIn2Ni at its PBEsol-relaxed geometry.

Cell: 3.2129 3.2129 6.2756 Å, 90.00 90.00 90.00°
Space group P4/mmm (No. 123)
One atom of each set of equivalent atoms:
Li  0.0000  0.0000  0.0000 (multiplicity 1)
In  0.5000  0.5000  0.2636 (multiplicity 2)
Ni  0.0000  0.0000  0.5000 (multiplicity 1)

Summary:
Formation energy in eV per atom: -0.212
Uncorrected energy in eV per atom: -21.546
N(E_F) in states/eV per cell: 1.01
ρ in Mg/m³: 7.6
Magnetic moment in μB per cell: 0.00


Density functional theory data (SCAN) for Al2TlSe at its PBEsol-relaxed geometry.

Cell: 3.6671 3.6671 21.9970 Å, 90.00 90.00 120.00°
Space group R-3m (No. 166, hexagonal axes)
One atom of each set of equivalent atoms:
Al  0.0000  0.0000  0.2425 (multiplicity 6)
Tl  0.0000  0.0000  0.0000 (multiplicity 3)
Se  0.0000  0.0000  0.5000 (multiplicity 3)

Summary:
Uncorrected energy in eV per atom: -27.082
N(E_F) in states/eV per cell: 4.04
ρ in Mg/m³: 6.6
Magnetic moment in μB per cell: 0.00
Formation energy without anion corrections in meV/atom: -97


Density functional theory data (SCAN) for KCd2Au at its PBEsol-relaxed geometry.

Cell: 2.9390 5.5463 11.7041 Å, 90.00 90.00 90.00°
Space group Immm (No. 71)
One atom of each set of equivalent atoms:
K  0.0000  0.0000  0.0000 (multiplicity 2)
Cd  0.0000  0.5000  0.2085 (multiplicity 4)
Au  0.0000  0.0000  0.5000 (multiplicity 2)

Summary:
Formation energy in eV per atom: -0.177
Uncorrected energy in eV per atom: -34.755
N(E_F) in states/eV per cell: 2.21
ρ in Mg/m³: 8.0
Magnetic moment in μB per cell: 0.00


Density functional theory data (SCAN) for KSrI2N at its PBEsol-relaxed geometry.

Cell: 6.1502 6.1502 4.8263 Å, 90.00 90.00 90.00°
Space group P4/mmm (No. 123)
One atom of each set of equivalent atoms:
K  0.0000  0.0000  0.0000 (multiplicity 1)
Sr  0.5000  0.5000  0.5000 (multiplicity 1)
I  0.0000  0.5000  0.0000 (multiplicity 2)
N  0.0000  0.0000  0.5000 (multiplicity 1)

Summary:
Uncorrected energy in eV per atom: -22.830
N(E_F) in states/eV per cell: 3.82
ρ in Mg/m³: 3.6
Magnetic moment in μB per cell: 2.06
Formation energy without anion corrections in meV/atom: -154


Density functional theory data (SCAN) for CaAuF2 at its PBEsol-relaxed geometry.

Cell: 5.5562 5.5562 10.8181 Å, 90.00 90.00 90.00°
Space group I-42d (No. 122)
One atom of each set of equivalent atoms:
Ca  0.0000  0.0000  0.0000 (multiplicity 4)
Au  0.0000  0.0000  0.5000 (multiplicity 4)
F  0.1597  0.7500  0.1250 (multiplicity 8)

Summary:
Uncorrected energy in eV per atom: -23.649
N(E_F) in states/eV per cell: 2.26
ρ in Mg/m³: 5.5
Magnetic moment in μB per cell: 0.00
Formation energy without anion corrections in meV/atom: -2174


Density functional theory data (SCAN) for KMnCl at its PBEsol-relaxed geometry.

Cell: 7.5867 7.5867 7.5867 Å, 90.00 90.00 90.00°
Space group F-43m (No. 216)
One atom of each set of equivalent atoms:
K  0.0000  0.0000  0.0000 (multiplicity 4)
Mn  0.2500  0.2500  0.7500 (multiplicity 4)
Cl  0.2500  0.2500  0.2500 (multiplicity 4)

Summary:
Uncorrected energy in eV per atom: -11.709
ρ in Mg/m³: 2.0
Magnetic moment in μB per cell: 20.00
Formation energy without anion corrections in meV/atom: -189


Density functional theory data (SCAN) for Li2NiF at its PBEsol-relaxed geometry.

Cell: 5.4633 5.4633 6.8087 Å, 90.00 90.00 90.00°
Space group I-42d (No. 122)
One atom of each set of equivalent atoms:
Li  0.1382  0.7500  0.1250 (multiplicity 8)
Ni  0.0000  0.0000  0.5000 (multiplicity 4)
F  0.0000  0.0000  0.0000 (multiplicity 4)

Summary:
Uncorrected energy in eV per atom: -7.147
N(E_F) in states/eV per cell: 2.43
ρ in Mg/m³: 3.0
Magnetic moment in μB per cell: 3.62
Formation energy without anion corrections in meV/atom: -1024


Density functional theory data (SCAN) for YInRe3 at its PBEsol-relaxed geometry.

Cell: 4.7441 4.7441 4.7441 Å, 90.00 90.00 90.00°
Space group Pm-3m (No. 221)
One atom of each set of equivalent atoms:
Y  0.0000  0.0000  0.0000 (multiplicity 1)
In  0.5000  0.5000  0.5000 (multiplicity 1)
Re  0.0000  0.0000  0.5000 (multiplicity 3)

Summary:
Formation energy in eV per atom: 3.040
Uncorrected energy in eV per atom: -51.865
N(E_F) in states/eV per cell: 3.66
ρ in Mg/m³: 11.9
Magnetic moment in μB per cell: 1.90


Density functional theory data (SCAN) for SiNi at its PBEsol-relaxed geometry.

Cell: 5.1046 3.3606 5.4943 Å, 90.00 90.00 90.00°
Space group Pnma (No. 62)
One atom of each set of equivalent atoms:
Si  0.1787  0.2500  0.0877 (multiplicity 4)
Ni  0.0099  0.2500  0.6866 (multiplicity 4)

Summary:
Uncorrected energy in eV per atom: -13.604
N(E_F) in states/eV per cell: 2.12
ρ in Mg/m³: 6.1
Magnetic moment in μB per cell: 0.00
Formation energy without anion corrections in meV/atom: -510


Density functional theory data (SCAN) for TeAs2 at its PBEsol-relaxed geometry.

Cell: 3.4511 16.8725 5.1931 Å, 90.00 90.00 90.00°
Space group Cmcm (No. 63)
One atom of each set of equivalent atoms:
Te  0.0000  0.1119  0.2500 (multiplicity 4)
As  0.0000  0.1879  0.7500 (multiplicity 4)
As  0.0000  0.4178  0.2500 (multiplicity 4)

Summary:
Uncorrected energy in eV per atom: -25.618
N(E_F) in states/eV per cell: 3.44
ρ in Mg/m³: 6.1
Magnetic moment in μB per cell: 0.00
Formation energy without anion corrections in meV/atom: 259


Density functional theory data (SCAN) for ZrPO2F at its PBEsol-relaxed geometry.

Cell: 4.1217 4.1217 4.1342 Å, 90.00 90.00 90.00°
Space group P4/mmm (No. 123)
One atom of each set of equivalent atoms:
Zr  0.0000  0.0000  0.0000 (multiplicity 1)
P  0.5000  0.5000  0.5000 (multiplicity 1)
O  0.0000  0.5000  0.0000 (multiplicity 2)
F  0.0000  0.0000  0.5000 (multiplicity 1)

Summary:
Uncorrected energy in eV per atom: -13.316
N(E_F) in states/eV per cell: 1.47
ρ in Mg/m³: 4.1
Magnetic moment in μB per cell: 1.99
Formation energy without anion corrections in meV/atom: -1896


Density functional theory data (SCAN) for NaPbW2F at its PBEsol-relaxed geometry.

Cell: 4.2097 4.2097 4.7044 Å, 90.00 90.00 90.00°
Space group P4/mmm (No. 123)
One atom of each set of equivalent atoms:
Na  0.0000  0.0000  0.0000 (multiplicity 1)
Pb  0.5000  0.5000  0.0000 (multiplicity 1)
W  0.0000  0.5000  0.5000 (multiplicity 2)
F  0.0000  0.0000  0.5000 (multiplicity 1)

Summary:
Uncorrected energy in eV per atom: -43.786
N(E_F) in states/eV per cell: 3.59
ρ in Mg/m³: 12.3
Magnetic moment in μB per cell: 0.00
Formation energy without anion corrections in meV/atom: 796